(1)
Compound: CaTa2Se
Source: Alexandria
Functional: PBE
Structure: optimized geometry

For the uncorrected formation energy, the calculation gives 0.28 eV per atom.

Lattice parameters (Å, degrees): 5.349 3.959 3.959 90.00 90.00 90.00
Sites, in units of the cell vectors:
Se1 0.500 0.000 0.500
Ta1 0.000 0.000 0.000
Ca1 0.500 0.500 0.000
Ta2 0.000 0.500 0.500

***

(2)
Compound: TiH2Pb2
Source: Alexandria
Functional: PBE
Structure: optimized geometry

The energy above the most stable polymorph in this dataset comes out at 0.0 meV per atom.

Lattice parameters (Å, degrees): 3.294 3.294 7.833 77.86 77.86 90.00
Sites, in units of the cell vectors:
Pb1 0.360 0.360 0.280
H1 0.750 0.250 0.500
H2 0.250 0.750 0.500
Ti1 0.000 0.000 0.000
Pb2 0.640 0.640 0.720

***

(3)
Compound: K2TbO3
Source: Alexandria
Functional: PBE
Structure: optimized geometry

For the uncorrected formation energy, the calculation gives -2.06 eV per atom.

Lattice parameters (Å, degrees): 6.409 6.409 12.661 85.01 85.01 121.33
Sites, in units of the cell vectors:
O1 0.517 0.336 0.160
O2 0.483 0.664 0.840
O3 0.052 0.262 0.352
K1 0.090 0.910 0.250
O4 0.872 0.442 0.851
K2 0.500 0.000 0.000
K3 0.684 0.852 0.507
K4 0.000 0.500 0.500
K5 0.910 0.090 0.750
O5 0.128 0.558 0.149
O6 0.442 0.872 0.351
K6 0.852 0.684 0.007
O7 0.948 0.738 0.648
O8 0.738 0.948 0.148
O9 0.336 0.517 0.660
O10 0.558 0.128 0.649
Tb1 0.236 0.764 0.750
Tb2 0.417 0.583 0.250
K7 0.316 0.148 0.493
O11 0.262 0.052 0.852
Tb3 0.764 0.236 0.250
Tb4 0.583 0.417 0.750
K8 0.148 0.316 0.993
O12 0.664 0.483 0.340

***

(4)
Compound: ZnOsPb2
Source: Alexandria
Functional: PBE
Structure: optimized geometry

As for the formation energy: 0.78 eV per atom.

Lattice parameters (Å, degrees): 5.030 5.030 5.349 81.55 81.55 39.36
Sites, in units of the cell vectors:
Pb1 0.515 0.515 0.488
Os1 0.250 0.250 0.250
Zn1 0.750 0.750 0.750
Pb2 0.985 0.985 0.012

***

(5)
Compound: Rb3Te
Source: Alexandria
Functional: PBE
Structure: optimized geometry

For the uncorrected formation energy, the calculation gives -0.58 eV per atom. The energy above the most stable polymorph in this dataset comes out at 58.1 meV per atom.

Lattice parameters (Å, degrees): 5.166 5.163 9.632 90.00 90.00 90.00
Sites, in units of the cell vectors:
Rb1 0.500 0.500 0.083
Te1 0.000 0.000 0.083
Rb2 0.000 0.500 0.380
Rb3 0.500 0.000 0.787

***

(6)
Compound: Ce2HgPd9
Source: Alexandria
Functional: PBE
Structure: optimized geometry

As for the formation energy: -0.62 eV per atom.

Lattice parameters (Å, degrees): 4.134 4.134 12.287 90.00 90.00 90.00
Sites, in units of the cell vectors:
Ce1 0.000 0.000 0.327
Hg1 0.000 0.000 0.000
Pd1 0.000 0.500 0.500
Pd2 0.500 0.500 0.000
Ce2 0.000 0.000 0.673
Pd3 0.500 0.000 0.500
Pd4 0.000 0.500 0.832
Pd5 0.500 0.500 0.666
Pd6 0.500 0.000 0.168
Pd7 0.500 0.500 0.334
Pd8 0.000 0.500 0.168
Pd9 0.500 0.000 0.832

***

(7)
Compound: CeScMnCu
Source: Alexandria
Functional: PBE
Structure: optimized geometry

As for the formation energy: 0.02 eV per atom.

Lattice parameters (Å, degrees): 4.759 4.759 4.759 60.00 60.00 60.00
Sites, in units of the cell vectors:
Cu1 0.500 0.500 0.500
Sc1 0.750 0.750 0.750
Mn1 0.000 0.000 0.000
Ce1 0.250 0.250 0.250

***

(8)
Compound: LiAg3Br4
Source: Alexandria
Functional: PBE
Structure: optimized geometry

For the uncorrected formation energy, the calculation gives -0.64 eV per atom.

Lattice parameters (Å, degrees): 6.222 6.222 7.565 114.28 114.28 90.00
Sites, in units of the cell vectors:
Br1 0.642 0.119 0.761
Li1 0.000 0.000 0.000
Br2 0.881 0.881 0.239
Br3 0.358 0.358 0.239
Ag1 0.250 0.750 0.500
Ag2 0.500 0.500 0.000
Ag3 0.750 0.250 0.500
Br4 0.119 0.642 0.761

***

Number 1: energy -0.516 Ry per atom. Number 2: energy -0.283 Ry per atom. Number 3: energy -0.417 Ry per atom. Number 4: energy -0.309 Ry per atom. Number 5: energy -0.154 Ry per atom. Number 6: energy -0.407 Ry per atom. Number 7: energy -0.468 Ry per atom. Number 8: energy -0.205 Ry per atom.